No. 1
Density functional theory data (PBE) for an optimized crystal structure of Ag6SbAu5.

a b c (Å): 5.160 5.160 9.823
angles (deg): 95.22 95.22 120.01
Fractional coordinates of all 12 atoms:
Ag: 0.079 0.415 0.245
Ag: 0.249 0.249 0.755
Ag: 0.415 0.079 0.245
Ag: 0.585 0.921 0.755
Ag: 0.751 0.751 0.245
Ag: 0.921 0.585 0.755
Sb: 0.500 0.500 0.500
Au: 0.000 0.000 0.000
Au: 0.167 0.833 0.500
Au: 0.334 0.666 0.000
Au: 0.666 0.334 0.000
Au: 0.833 0.167 0.500

Properties
D(E_F) in states/eV/cell: 3.45
Energy above the lowest structure with this stoichiometry in meV per atom: 13
VASP energy in eV per atom: -3.143

No. 2
Density functional theory data (PBE) for an optimized crystal structure of Ag5SbAu3.

a b c (Å): 7.369 7.369 8.449
angles (deg): 90.22 90.22 64.24
Fractional coordinates of all 18 atoms:
Ag: 0.001 0.001 0.663
Ag: 0.167 0.550 0.689
Ag: 0.167 0.833 0.000
Ag: 0.178 0.178 0.141
Ag: 0.450 0.833 0.311
Ag: 0.550 0.167 0.689
Ag: 0.822 0.822 0.859
Ag: 0.833 0.167 0.000
Ag: 0.833 0.450 0.311
Ag: 0.999 0.999 0.337
Sb: 0.379 0.379 0.249
Sb: 0.621 0.621 0.751
Au: 0.190 0.190 0.822
Au: 0.206 0.206 0.489
Au: 0.500 0.500 0.000
Au: 0.500 0.500 0.500
Au: 0.794 0.794 0.511
Au: 0.810 0.810 0.178

Properties
D(E_F) in states/eV/cell: 5.02
VASP energy in eV per atom: -2.913

No. 3
Density functional theory data (PBE) for an optimized crystal structure of AgSbAu2.

a b c (Å): 4.691 4.691 14.152
angles (deg): 90.00 90.00 120.00
Fractional coordinates of all 12 atoms:
Ag: 0.000 0.000 0.000
Ag: 0.333 0.667 0.667
Ag: 0.667 0.333 0.333
Sb: 0.000 0.000 0.795
Sb: 0.333 0.667 0.461
Sb: 0.667 0.333 0.128
Au: 0.000 0.000 0.402
Au: 0.000 0.000 0.599
Au: 0.333 0.667 0.069
Au: 0.333 0.667 0.265
Au: 0.667 0.333 0.735
Au: 0.667 0.333 0.932

Properties
D(E_F) in states/eV/cell: 2.45
VASP energy in eV per atom: -3.322

No. 4
Density functional theory data (PBE) for an optimized crystal structure of Ag5SbAu6.

a b c (Å): 6.701 6.701 8.241
angles (deg): 90.12 90.12 143.04
Fractional coordinates of all 12 atoms:
Ag: 0.000 0.000 0.000
Ag: 0.329 0.671 0.500
Ag: 0.334 0.666 0.000
Ag: 0.666 0.334 0.000
Ag: 0.671 0.329 0.500
Sb: 0.000 0.000 0.500
Au: 0.168 0.830 0.754
Au: 0.170 0.832 0.246
Au: 0.500 0.500 0.244
Au: 0.500 0.500 0.756
Au: 0.830 0.168 0.754
Au: 0.832 0.170 0.246

Properties
D(E_F) in states/eV/cell: 3.72
VASP energy in eV per atom: -3.190

No. 5
Density functional theory data (PBE) for an optimized crystal structure of Ag2Sb2Au.

a b c (Å): 4.179 4.179 13.996
angles (deg): 90.00 90.00 90.00
Fractional coordinates of all 10 atoms:
Ag: 0.000 0.000 0.094
Ag: 0.000 0.000 0.906
Ag: 0.500 0.500 0.406
Ag: 0.500 0.500 0.594
Sb: 0.000 0.500 0.250
Sb: 0.000 0.500 0.750
Sb: 0.500 0.000 0.250
Sb: 0.500 0.000 0.750
Au: 0.000 0.000 0.500
Au: 0.500 0.500 0.000

Properties
D(E_F) in states/eV/cell: 3.08
Energy above the lowest structure with this stoichiometry in meV per atom: 214
VASP energy in eV per atom: -3.080

No. 6
Density functional theory data (PBE) for an optimized crystal structure of Ag6SbAu2.

a b c (Å): 7.922 7.922 2.974
angles (deg): 100.52 100.52 68.53
Fractional coordinates of all 9 atoms:
Ag: 0.159 0.498 0.326
Ag: 0.164 0.836 0.000
Ag: 0.498 0.159 0.326
Ag: 0.502 0.841 0.674
Ag: 0.836 0.164 0.000
Ag: 0.841 0.502 0.674
Sb: 0.500 0.500 0.000
Au: 0.164 0.164 0.662
Au: 0.836 0.836 0.338

Properties
D(E_F) in states/eV/cell: 2.45
Energy above the lowest structure with this stoichiometry in meV per atom: 0
VASP energy in eV per atom: -3.072

No. 7
Density functional theory data (PBE) for an optimized crystal structure of Ag6SbAu3.

a b c (Å): 9.752 9.752 5.499
angles (deg): 90.00 90.00 132.06
Fractional coordinates of all 20 atoms:
Ag: 0.017 0.983 0.500
Ag: 0.073 0.533 0.980
Ag: 0.282 0.350 0.725
Ag: 0.329 0.671 0.571
Ag: 0.350 0.282 0.225
Ag: 0.467 0.927 0.980
Ag: 0.533 0.073 0.480
Ag: 0.650 0.718 0.725
Ag: 0.671 0.329 0.071
Ag: 0.718 0.650 0.225
Ag: 0.927 0.467 0.480
Ag: 0.983 0.017 0.000
Sb: 0.164 0.836 0.285
Sb: 0.836 0.164 0.785
Au: 0.063 0.299 0.326
Au: 0.299 0.063 0.826
Au: 0.398 0.602 0.101
Au: 0.602 0.398 0.601
Au: 0.701 0.937 0.326
Au: 0.937 0.701 0.826

Properties
D(E_F) in states/eV/cell: 5.97
VASP energy in eV per atom: -3.076

No. 8
Density functional theory data (PBE) for an optimized crystal structure of Ag8Sb2Au.

a b c (Å): 7.276 7.276 4.905
angles (deg): 102.53 102.53 80.55
Fractional coordinates of all 11 atoms:
Ag: 0.068 0.068 0.289
Ag: 0.167 0.662 0.207
Ag: 0.216 0.216 0.876
Ag: 0.338 0.833 0.793
Ag: 0.662 0.167 0.207
Ag: 0.784 0.784 0.124
Ag: 0.833 0.338 0.793
Ag: 0.932 0.932 0.711
Sb: 0.337 0.337 0.452
Sb: 0.663 0.663 0.548
Au: 0.500 0.500 0.000

Properties
D(E_F) in states/eV/cell: 3.85
VASP energy in eV per atom: -2.942

No. 9
Density functional theory data (PBE) for an optimized crystal structure of Ag6SbAu5.

a b c (Å): 7.877 7.877 4.180
angles (deg): 105.28 105.28 106.88
Fractional coordinates of all 12 atoms:
Ag: 0.077 0.414 0.745
Ag: 0.242 0.242 0.241
Ag: 0.414 0.077 0.745
Ag: 0.586 0.923 0.255
Ag: 0.758 0.758 0.759
Ag: 0.923 0.586 0.255
Sb: 0.500 0.500 0.000
Au: 0.000 0.000 0.500
Au: 0.167 0.833 0.000
Au: 0.331 0.669 0.500
Au: 0.669 0.331 0.500
Au: 0.833 0.167 0.000

Properties
D(E_F) in states/eV/cell: 3.78
Energy above the lowest structure with this stoichiometry in meV per atom: 0
VASP energy in eV per atom: -3.155

No. 10
Density functional theory data (PBE) for an optimized crystal structure of Ag8SbAu2.

a b c (Å): 7.365 7.365 5.007
angles (deg): 102.08 102.08 60.93
Fractional coordinates of all 11 atoms:
Ag: 0.117 0.748 0.715
Ag: 0.143 0.143 0.837
Ag: 0.252 0.883 0.285
Ag: 0.267 0.267 0.414
Ag: 0.733 0.733 0.586
Ag: 0.748 0.117 0.715
Ag: 0.857 0.857 0.163
Ag: 0.883 0.252 0.285
Sb: 0.500 0.500 0.500
Au: 0.371 0.371 0.972
Au: 0.629 0.629 0.028

Properties
D(E_F) in states/eV/cell: 2.56
VASP energy in eV per atom: -2.904

No. 11
Density functional theory data (PBE) for an optimized crystal structure of AgSbAu2.

a b c (Å): 4.310 4.310 8.560
angles (deg): 90.00 90.00 90.00
Fractional coordinates of all 8 atoms:
Ag: 0.000 0.000 0.000
Ag: 0.500 0.500 0.500
Sb: 0.000 0.000 0.500
Sb: 0.500 0.500 0.000
Au: 0.000 0.500 0.250
Au: 0.000 0.500 0.750
Au: 0.500 0.000 0.250
Au: 0.500 0.000 0.750

Properties
D(E_F) in states/eV/cell: 2.13
VASP energy in eV per atom: -3.354

No. 12
Density functional theory data (PBE) for an optimized crystal structure of AgSb2Au2.

a b c (Å): 3.951 3.951 15.094
angles (deg): 90.00 90.00 90.00
Fractional coordinates of all 10 atoms:
Ag: 0.000 0.000 0.000
Ag: 0.500 0.500 0.500
Sb: 0.000 0.000 0.395
Sb: 0.000 0.000 0.605
Sb: 0.500 0.500 0.105
Sb: 0.500 0.500 0.895
Au: 0.000 0.500 0.250
Au: 0.000 0.500 0.750
Au: 0.500 0.000 0.250
Au: 0.500 0.000 0.750

Properties
D(E_F) in states/eV/cell: 4.56
Energy above the lowest structure with this stoichiometry in meV per atom: 109
VASP energy in eV per atom: -3.354

Summary of formation energy (no corrections) in eV per atom
-0.0079; 0.2218; 0.0604; -0.0199; 0.3645; 0.0154; 0.0307; 0.1791; -0.0206; 0.1406; 0.0285; 0.1766
(order as listed above)
Summary of total magnetization in μB per atom
0.00; 0.00; 0.00; 0.00; 0.00; 0.00; 0.00; 0.00; 0.00; 0.00; 0.00; 0.00
(order as listed above)